#i
# TaVF2 | Alexandria via LeMat-Bulk | GGA+U | optimized geometry
# - Crystal system: trigonal
data_TaVF2
_cell_length_a 3.0838
_cell_length_b 3.0838
_cell_length_c 21.4519
_cell_angle_alpha 90.00
_cell_angle_beta 90.00
_cell_angle_gamma 120.00
_space_group_name_H-M_alt 'R -3 m'
_space_group_IT_number 166
_space_group_name_Hall '-R 3 2"'
loop_
_atom_site_label
_atom_site_fract_x
_atom_site_fract_y
_atom_site_fract_z
_atom_site_occupancy
Ta1 0.0000 0.0000 0.0000 1
V1 0.0000 0.0000 0.5000 1
F1 0.0000 0.0000 0.1145 1


#ii
# TaVF2 | Alexandria via LeMat-Bulk | GGA+U | optimized geometry
# - Crystal system: cubic
data_TaVF2
_cell_length_a 6.011
_cell_length_b 6.011
_cell_length_c 6.011
_cell_angle_alpha 90.00
_cell_angle_beta 90.00
_cell_angle_gamma 90.00
_space_group_name_H-M_alt 'F m -3 m'
_space_group_IT_number 225
_space_group_name_Hall '-F 4 2 3'
loop_
_atom_site_label
_atom_site_fract_x
_atom_site_fract_y
_atom_site_fract_z
_atom_site_occupancy
Ta1 0.000 0.000 0.000 1
V1 0.000 0.000 0.500 1
F1 0.250 0.250 0.250 1


Energy relative to the most stable one, in kJ/mol of atoms: #i 0.0; #ii 112.0


#i
# TaV3F | Alexandria via LeMat-Bulk | GGA+U | optimized geometry
# - Crystal system: cubic
data_TaV3F
_cell_length_a 4.318
_cell_length_b 4.318
_cell_length_c 4.318
_cell_angle_alpha 90.00
_cell_angle_beta 90.00
_cell_angle_gamma 90.00
_space_group_name_H-M_alt 'P m -3 m'
_space_group_IT_number 221
_space_group_name_Hall '-P 4 2 3'
loop_
_atom_site_label
_atom_site_fract_x
_atom_site_fract_y
_atom_site_fract_z
_atom_site_occupancy
Ta1 0.000 0.000 0.000 1
V1 0.000 0.500 0.500 1
F1 0.500 0.500 0.500 1


#ii
# TaV3F | Alexandria via LeMat-Bulk | GGA+U | optimized geometry
# - Crystal system: cubic
data_TaV3F
_cell_length_a 4.928
_cell_length_b 4.928
_cell_length_c 4.928
_cell_angle_alpha 90.00
_cell_angle_beta 90.00
_cell_angle_gamma 90.00
_space_group_name_H-M_alt 'P m -3 m'
_space_group_IT_number 221
_space_group_name_Hall '-P 4 2 3'
loop_
_atom_site_label
_atom_site_fract_x
_atom_site_fract_y
_atom_site_fract_z
_atom_site_occupancy
Ta1 0.000 0.000 0.000 1
V1 0.000 0.000 0.500 1
F1 0.500 0.500 0.500 1


Energy relative to the most stable one, in kJ/mol of atoms: #i 0.0; #ii 126.6


#i
# TaWF2 | Alexandria via LeMat-Bulk | GGA+U | optimized geometry
# - Crystal system: tetragonal
data_TaWF2
_cell_length_a 5.271
_cell_length_b 5.271
_cell_length_c 10.125
_cell_angle_alpha 90.00
_cell_angle_beta 90.00
_cell_angle_gamma 90.00
_space_group_name_H-M_alt 'I -4 2 d'
_space_group_IT_number 122
_space_group_name_Hall 'I -4 2bw'
loop_
_atom_site_label
_atom_site_fract_x
_atom_site_fract_y
_atom_site_fract_z
_atom_site_occupancy
Ta1 0.000 0.000 0.000 1
W1 0.000 0.000 0.500 1
F1 0.216 0.250 0.125 1


#ii
# TaWF2 | Alexandria via LeMat-Bulk | GGA+U | optimized geometry
# - Crystal system: cubic
data_TaWF2
_cell_length_a 6.083
_cell_length_b 6.083
_cell_length_c 6.083
_cell_angle_alpha 90.00
_cell_angle_beta 90.00
_cell_angle_gamma 90.00
_space_group_name_H-M_alt 'F m -3 m'
_space_group_IT_number 225
_space_group_name_Hall '-F 4 2 3'
loop_
_atom_site_label
_atom_site_fract_x
_atom_site_fract_y
_atom_site_fract_z
_atom_site_occupancy
Ta1 0.000 0.000 0.000 1
W1 0.000 0.000 0.500 1
F1 0.250 0.250 0.250 1


Energy relative to the most stable one, in kJ/mol of atoms: #i 0.0; #ii 29.6


#i
# TaWF3 | Alexandria via LeMat-Bulk | GGA+U | optimized geometry
# - Crystal system: cubic
data_TaWF3
_cell_length_a 4.326
_cell_length_b 4.326
_cell_length_c 4.326
_cell_angle_alpha 90.00
_cell_angle_beta 90.00
_cell_angle_gamma 90.00
_space_group_name_H-M_alt 'P m -3 m'
_space_group_IT_number 221
_space_group_name_Hall '-P 4 2 3'
loop_
_atom_site_label
_atom_site_fract_x
_atom_site_fract_y
_atom_site_fract_z
_atom_site_occupancy
Ta1 0.000 0.000 0.000 1
W1 0.500 0.500 0.500 1
F1 0.000 0.000 0.500 1


#ii
# TaWF3 | Alexandria via LeMat-Bulk | GGA+U | optimized geometry
# - Crystal system: cubic
data_TaWF3
_cell_length_a 4.401
_cell_length_b 4.401
_cell_length_c 4.401
_cell_angle_alpha 90.00
_cell_angle_beta 90.00
_cell_angle_gamma 90.00
_space_group_name_H-M_alt 'P m -3 m'
_space_group_IT_number 221
_space_group_name_Hall '-P 4 2 3'
loop_
_atom_site_label
_atom_site_fract_x
_atom_site_fract_y
_atom_site_fract_z
_atom_site_occupancy
Ta1 0.000 0.000 0.000 1
W1 0.500 0.500 0.500 1
F1 0.000 0.500 0.500 1


Energy relative to the most stable one, in kJ/mol of atoms: #i 0.0; #ii 34.4


#i
# TaW2F | Alexandria via LeMat-Bulk | GGA+U | optimized geometry
# - Crystal system: cubic
data_TaW2F
_cell_length_a 6.551
_cell_length_b 6.551
_cell_length_c 6.551
_cell_angle_alpha 90.00
_cell_angle_beta 90.00
_cell_angle_gamma 90.00
_space_group_name_H-M_alt 'F m -3 m'
_space_group_IT_number 225
_space_group_name_Hall '-F 4 2 3'
loop_
_atom_site_label
_atom_site_fract_x
_atom_site_fract_y
_atom_site_fract_z
_atom_site_occupancy
Ta1 0.000 0.000 0.000 1
W1 0.250 0.250 0.250 1
F1 0.000 0.000 0.500 1


#ii
# TaW2F | Alexandria via LeMat-Bulk | GGA+U | optimized geometry
# - Crystal system: tetragonal
data_TaW2F
_cell_length_a 6.912
_cell_length_b 6.912
_cell_length_c 5.462
_cell_angle_alpha 90.00
_cell_angle_beta 90.00
_cell_angle_gamma 90.00
_space_group_name_H-M_alt 'I -4 2 d'
_space_group_IT_number 122
_space_group_name_Hall 'I -4 2bw'
loop_
_atom_site_label
_atom_site_fract_x
_atom_site_fract_y
_atom_site_fract_z
_atom_site_occupancy
Ta1 0.000 0.000 0.000 1
W1 0.200 0.250 0.625 1
F1 0.000 0.000 0.500 1


Energy relative to the most stable one, in kJ/mol of atoms: #i 13.0; #ii 0.0